Below is a geometry-optimized TaCu2Pt structure, with properties calculated at the PBE level.

abc: 2.779 2.779 7.505
angles: 90.00 90.00 90.00
Atoms (fractional coordinates):
Ta: 0.000 0.000 0.000
Cu: 0.500 0.500 0.259
Cu: 0.500 0.500 0.741
Pt: 0.000 0.000 0.500

Energy above the lowest structure with this stoichiometry (kJ/mol of formula units): 67
Energy of formation from the pure elements (eV per formula unit): -0.21
SG: P4/mmm

***

Below is a geometry-optimized HfTcIr structure, with properties calculated at the PBE level.

abc: 4.644 8.032 5.364
angles: 90.00 90.00 90.00
Atoms (fractional coordinates):
Hf: 0.000 0.167 0.250
Hf: 0.000 0.833 0.750
Hf: 0.500 0.333 0.750
Hf: 0.500 0.667 0.250
Tc: 0.000 0.500 0.000
Tc: 0.000 0.500 0.500
Tc: 0.500 0.000 0.000
Tc: 0.500 0.000 0.500
Ir: 0.000 0.166 0.750
Ir: 0.000 0.834 0.250
Ir: 0.500 0.334 0.250
Ir: 0.500 0.666 0.750

Energy of formation from the pure elements (eV per formula unit): -1.14
SG: Cmcm

***

Below is a geometry-optimized Dy6Ho12Zr structure, with properties calculated at the PBE level.

abc: 8.421 8.421 8.421
angles: 88.76 88.76 88.76
Atoms (fractional coordinates):
Dy: 0.200 0.755 0.592
Dy: 0.245 0.408 0.800
Dy: 0.408 0.800 0.245
Dy: 0.592 0.200 0.755
Dy: 0.755 0.592 0.200
Dy: 0.800 0.245 0.408
Ho: 0.036 0.942 0.279
Ho: 0.058 0.721 0.964
Ho: 0.149 0.487 0.303
Ho: 0.279 0.036 0.942
Ho: 0.303 0.149 0.487
Ho: 0.487 0.303 0.149
Ho: 0.513 0.697 0.851
Ho: 0.697 0.851 0.513
Ho: 0.721 0.964 0.058
Ho: 0.851 0.513 0.697
Ho: 0.942 0.279 0.036
Ho: 0.964 0.058 0.721
Zr: 0.500 0.500 0.500

Energy above the lowest structure with this stoichiometry (kJ/mol of formula units): 0
Energy of formation from the pure elements (eV per formula unit): 3.09
SG: R-3

***

Below is a geometry-optimized MgCo2AuN structure, with properties calculated at the PBE level.

abc: 3.796 3.796 4.279
angles: 90.00 90.00 90.00
Atoms (fractional coordinates):
Mg: 0.000 0.000 0.000
Co: 0.000 0.500 0.500
Co: 0.500 0.000 0.500
Au: 0.500 0.500 0.000
N: 0.000 0.000 0.500

Formation energy from raw total energies (eV/atom): -0.17
SG: P4/mmm

***

Below is a geometry-optimized Pm2Nd5DyHo structure, with properties calculated at the PBE level.

abc: 10.312 10.312 10.312
angles: 130.29 130.29 72.95
Atoms (fractional coordinates):
Pm: 0.121 0.621 0.741
Pm: 0.379 0.121 0.500
Pm: 0.621 0.879 0.500
Pm: 0.879 0.379 0.259
Nd: 0.000 0.000 0.000
Nd: 0.073 0.143 0.500
Nd: 0.143 0.643 0.070
Nd: 0.357 0.427 0.500
Nd: 0.427 0.927 0.070
Nd: 0.500 0.500 0.000
Nd: 0.573 0.073 0.930
Nd: 0.643 0.573 0.500
Nd: 0.857 0.357 0.930
Nd: 0.927 0.857 0.500
Dy: 0.250 0.250 0.000
Dy: 0.750 0.750 0.000
Ho: 0.250 0.750 0.500
Ho: 0.750 0.250 0.500

Energy of formation from the pure elements (eV per formula unit): 2.51
SG: I4/mcm

***

Below is a geometry-optimized Cs2BaAl structure, with properties calculated at the PBE level.

abc: 9.319 9.319 9.319
angles: 90.00 90.00 90.00
Atoms (fractional coordinates):
Cs: 0.250 0.250 0.250
Cs: 0.250 0.250 0.750
Cs: 0.250 0.750 0.250
Cs: 0.250 0.750 0.750
Cs: 0.750 0.250 0.250
Cs: 0.750 0.250 0.750
Cs: 0.750 0.750 0.250
Cs: 0.750 0.750 0.750
Ba: 0.000 0.000 0.000
Ba: 0.000 0.500 0.500
Ba: 0.500 0.000 0.500
Ba: 0.500 0.500 0.000
Al: 0.000 0.000 0.500
Al: 0.000 0.500 0.000
Al: 0.500 0.000 0.000
Al: 0.500 0.500 0.500

Energy of formation from the pure elements (eV per formula unit): 1.90
SG: Fm-3m

***

Below is a geometry-optimized Pm2MgGaPt6 structure, with properties calculated at the PBE level.

abc: 5.648 5.648 8.812
angles: 108.75 108.75 59.99
Atoms (fractional coordinates):
Pm: 0.203 0.203 0.108
Pm: 0.797 0.797 0.892
Mg: 0.000 0.000 0.500
Ga: 0.500 0.500 0.000
Pt: 0.237 0.747 0.230
Pt: 0.253 0.763 0.770
Pt: 0.254 0.254 0.770
Pt: 0.746 0.746 0.230
Pt: 0.747 0.237 0.230
Pt: 0.763 0.253 0.770

Energy of formation from the pure elements (eV per formula unit): -7.89
SG: C2/m

***

Below is a geometry-optimized TaHgBi3 structure, with properties calculated at the PBE level.

abc: 5.581 5.581 5.581
angles: 90.00 90.00 90.00
Atoms (fractional coordinates):
Ta: 0.000 0.000 0.000
Hg: 0.500 0.500 0.500
Bi: 0.000 0.500 0.500
Bi: 0.500 0.000 0.500
Bi: 0.500 0.500 0.000

Energy above the lowest structure with this stoichiometry (kJ/mol of formula units): 520
Energy of formation from the pure elements (eV per formula unit): 7.61
SG: Pm-3m

***

Short version: calculated total energy = -6.57 -10.11 -4.63 -5.65 -4.45 -1.37 -5.83 -3.24 eV/atom, in the order given.
Short version: magnetic moment = 0.00 0.00 0.00 2.25 0.00 0.00 0.00 2.60 μB per formula unit, in the order given.
Short version: Fermi-level density of states = 2.2 17.8 32.1 5.1 28.4 27.3 3.2 6.7 states/eV/cell, in the order given.